The following is a DFT calculation (PBE) of a relaxed Pm2Ga6Os crystal.

Structure (extended XYZ):
```
9
Lattice="0.0000 4.4358 4.4358 4.4358 0.0000 4.4358 4.4358 4.4358 0.0000" Properties=species:S:1:pos:R:3 pbc="T T T"
Pm 2.2179 2.2179 2.2179
Pm 6.6537 6.6537 6.6537
Ga 4.4358 4.4358 1.9182
Ga 4.4358 1.9182 4.4358
Ga 6.9534 4.4358 4.4358
Ga 1.9182 4.4358 4.4358
Ga 4.4358 6.9534 4.4358
Ga 4.4358 4.4358 6.9534
Os 4.4358 4.4358 4.4358
```

Results
Energy of formation from the pure elements: -512 meV per atom
ΔE to the lowest computed polymorph: 0 meV per atom
V: 174.6 Å³ per cell
Spin magnetization: 0.001 μB per cell
Density of states at the Fermi level: 7.62 states/eV/cell